Crystalline LiPrAs2Pd5 at its relaxed geometry. Source: Alexandria, functional PBE.

Lattice parameters (Å, degrees): 4.231 4.231 9.337 90.00 90.00 90.00
Fractional positions:
Li: 0.000 0.000 0.000
Pr: 0.000 0.000 0.500
As: 0.500 0.500 0.132
As: 0.500 0.500 0.868
Pd: 0.000 0.500 0.269
Pd: 0.500 0.000 0.269
Pd: 0.000 0.500 0.731
Pd: 0.500 0.000 0.731
Pd: 0.500 0.500 0.500

Summary:
Calculated formation energy in eV per atom: -0.599

Crystalline BaHfF2 at its relaxed geometry. Source: Alexandria, functional PBE.

Lattice parameters (Å, degrees): 8.200 8.200 8.200 25.31 25.31 25.31
Last column: magnetic moment on the atom in μB.
Fractional positions:
Hf: 0.000 0.000 0.000  0.31
Ba: 0.500 0.500 0.500  0.25
F: 0.915 0.915 0.915  0.01
F: 0.085 0.085 0.085  0.01

Summary:
Energy above the lowest structure with this stoichiometry in eV per atom: 0.000
Formation energy without anion corrections in eV per atom: -2.085